# 1
Computed, not measured: a relaxed structure of SmY3Se4 at the GGA-PBE level of DFT.

Unit cell a=5.814 b=5.814 c=5.814 alpha=90.00 beta=90.00 gamma=90.00
Fractional positions:
1 Sm 0.000 0.000 0.000
2 Y 0.000 0.500 0.500
3 Y 0.500 0.500 0.000
4 Se 0.500 0.500 0.500
5 Y 0.500 0.000 0.500
6 Se 0.500 0.000 0.000
7 Se 0.000 0.000 0.500
8 Se 0.000 0.500 0.000

Computed properties:
SG: Pm-3m
Excess energy over the best structure of this formula in the dataset (meV/atom): 16
Formation energy without anion corrections (meV/atom): -1765


# 2
Computed, not measured: a relaxed structure of SmY4Se5 at the GGA-PBE level of DFT.

Unit cell a=16.856 b=16.856 c=16.856 alpha=14.01 beta=14.01 gamma=14.01
Fractional positions:
1 Y 0.401 0.401 0.401
2 Y 0.800 0.800 0.800
3 Sm 0.000 0.000 0.000
4 Se 0.899 0.899 0.899
5 Se 0.298 0.298 0.298
6 Y 0.599 0.599 0.599
7 Se 0.702 0.702 0.702
8 Y 0.200 0.200 0.200
9 Se 0.101 0.101 0.101
10 Se 0.500 0.500 0.500

Computed properties:
SG: R-3m
Excess energy over the best structure of this formula in the dataset (meV/atom): 0
Formation energy without anion corrections (meV/atom): -1785


# 3
Computed, not measured: a relaxed structure of Sm6Y2Se3 at the GGA-PBE level of DFT.

Unit cell a=3.885 b=3.885 c=25.667 alpha=85.66 beta=85.66 gamma=60.00
Fractional positions:
1 Sm 0.074 0.074 0.779
2 Sm 0.926 0.926 0.221
3 Y 0.556 0.556 0.333
4 Se 0.000 0.000 0.000
5 Se 0.715 0.715 0.854
6 Sm 0.358 0.358 0.926
7 Y 0.444 0.444 0.667
8 Sm 0.642 0.642 0.074
9 Sm 0.185 0.185 0.445
10 Sm 0.815 0.815 0.555
11 Se 0.285 0.285 0.146

Computed properties:
SG: R-3m
Formation energy without anion corrections (meV/atom): -902


# 4
Computed, not measured: a relaxed structure of SmY4Se5 at the GGA-PBE level of DFT.

Unit cell a=4.104 b=5.794 c=10.879 alpha=105.44 beta=100.87 gamma=90.00
Fractional positions:
1 Y 0.799 0.799 0.598
2 Se 0.397 0.897 0.794
3 Y 0.401 0.401 0.801
4 Y 0.599 0.599 0.199
5 Se 0.603 0.103 0.206
6 Se 0.199 0.699 0.399
7 Se 0.000 0.500 0.000
8 Y 0.201 0.201 0.402
9 Sm 0.000 0.000 0.000
10 Se 0.801 0.301 0.601

Computed properties:
SG: Immm
Excess energy over the best structure of this formula in the dataset (meV/atom): 13
Formation energy without anion corrections (meV/atom): -1771


These records have total magnetization values of 0.00 0.00 0.00 0.00 μB/atom, in the order they appear.
These records have energy values of -6.521 -6.585 -5.602 -6.571 eV per atom, in the order they appear.